# 1
Compound: TlSiSN2
Source: Alexandria
Functional: SCAN
Structure: single point on PBEsol structure

Values from the calculation:
Energy above the lowest structure with this stoichiometry in eV per atom: 0.124
Crystal system: tetragonal
Magnetization in μB per formula unit: 2.796
Raw total energy in eV per atom: -20.13

abc: 4.192 4.192 5.427
angles: 90.00 90.00 90.00
Space group P4/mmm (No. 123)
Asymmetric unit:
Tl (0.000, 0.000, 0.000)
Si (0.500, 0.500, 0.500)
S (0.000, 0.000, 0.500)
N (0.000, 0.500, 0.000)



# 2
Compound: CuBiTe2N
Source: Alexandria
Functional: SCAN
Structure: single point on PBEsol structure

Values from the calculation:
Crystal system: tetragonal
Magnetization in μB per formula unit: 1.785
Raw total energy in eV per atom: -34.89

abc: 5.422 5.422 3.661
angles: 90.00 90.00 90.00
Space group P4/mmm (No. 123)
Asymmetric unit:
Cu (0.000, 0.000, 0.000)
Bi (0.500, 0.500, 0.500)
Te (0.000, 0.500, 0.000)
N (0.000, 0.000, 0.500)



# 3
Compound: YMgBiRh2
Source: Alexandria
Functional: SCAN
Structure: single point on PBEsol structure

Values from the calculation:
Energy relative to the elements in meV per atom: 257
Crystal system: tetragonal
Magnetization in μB per formula unit: 0.000
Raw total energy in eV per atom: -35.53

abc: 4.622 4.622 5.070
angles: 90.00 90.00 90.00
Space group P4/mmm (No. 123)
Asymmetric unit:
Y (0.000, 0.000, 0.000)
Mg (0.500, 0.500, 0.500)
Bi (0.500, 0.500, 0.000)
Rh (0.000, 0.500, 0.500)